Material: ReTe2PdCl
Method: DFT, PBE
State: relaxed

The uncorrected formation energy is 1.599 eV per atom. As for the total energy: -17.78 eV/f.u.

The space group is P4/mmm (No. 123) and the conventional cell measures 5.434, 5.434 and 4.264 Å, with angles of 90.00, 90.00 and 90.00 degrees. The distinct sites, in fractional coordinates, are Re at (0.000, 0.000, 0.000), Te at (0.000, 0.500, 0.500), Pd at (0.500, 0.500, 0.000) and Cl at (0.000, 0.000, 0.500).